1.
This record from Alexandria describes a relaxed structure of Sc2PtSe. The functional is PBE-GGA.

Cell: 3.8448 3.8448 5.5747 Å, 90.00 90.00 90.00°
Last column: nearest neighbours and their distance in Å.
Element x y z (fractional)
Sc 0.5000 0.5000 0.3750  4 Se 2.72, 2 Pt 2.79
Sc 0.0000 0.0000 0.8751  4 Pt 2.72, 2 Se 2.79
Se 0.0000 0.0000 0.3749  6 Sc 2.72-2.79
Pt 0.5000 0.5000 0.8750  6 Sc 2.72-2.79

=====

2.
This record from Alexandria describes a relaxed structure of Sc2PtSe. The functional is PBE-GGA.

Cell: 3.7956 3.7956 7.0009 Å, 74.34 74.34 59.89°
Last column: nearest neighbours and their distance in Å.
Element x y z (fractional)
Se 0.7500 0.7500 0.7500  6 Sc 2.80
Pt 0.2500 0.2500 0.2500  6 Sc 2.70
Sc 0.5045 0.5045 0.4867  3 Pt 2.70, 3 Se 2.80
Sc 0.9955 0.9955 0.0133  3 Pt 2.70, 3 Se 2.80

=====

3.
This record from Alexandria describes a relaxed structure of ScPtSe. The functional is PBE-GGA.

Values from the calculation:
Excess energy over the best structure of this formula in the dataset, eV/atom: 0.238

Cell: 4.4129 4.4129 4.4129 Å, 60.00 60.00 60.00°
Last column: nearest neighbours and their distance in Å.
Element x y z (fractional)
Sc 0.5000 0.5000 0.5000  4 Se 2.70
Se 0.7500 0.7500 0.7500  4 Pt 2.70, 4 Sc 2.70
Pt 0.0000 0.0000 0.0000  4 Se 2.70

=====

no.,density of states at the Fermi level (states/eV/cell),total energy (eV for the cell shown),uncorrected formation energy (kJ/mol of atoms)
1,3.6,-27.2,-122
2,3.5,-27.4,-126
3,3.8,-17.9,-65